A relaxed Sc2BeAsC crystal, computed with PBE.

The structure in extended XYZ format:
```
5
Lattice="-2.1037 3.0422 -2.7006 -3.9726 -0.8817 2.1014 0.6703 2.5312 2.3292" Properties=species:S:1:pos:R:3 pbc="T T T"
Sc -1.9863 -0.4408 1.0507
Sc -1.0519 1.5211 -1.3503
Be 0.3352 1.2656 1.1646
As -2.7030 2.3459 0.8650
C 0.0000 0.0000 0.0000
```

Values from the calculation:
calculated density = 4.20 Mg/m³
magnetic moment = 0.00 μB/f.u.



A relaxed Sc2BeAsC crystal, computed with PBE.

The structure in extended XYZ format:
```
5
Lattice="5.0901 0.0000 0.0000 0.0000 3.8444 0.0000 0.0000 0.0000 5.0901" Properties=species:S:1:pos:R:3 pbc="T T T"
Sc 0.0000 0.0000 2.5451
Sc 2.5451 0.0000 0.0000
Be 2.5451 1.9222 2.5451
As 0.0000 0.0000 0.0000
C 0.0000 1.9222 0.0000
```

Values from the calculation:
calculated density = 3.10 Mg/m³
magnetic moment = 0.00 μB/f.u.



A relaxed BeAsCSe2 crystal, computed with PBE.

The structure in extended XYZ format:
```
5
Lattice="-2.8312 -3.3351 -0.8245 1.4379 -2.1207 3.6406 -2.9218 1.9187 2.2717" Properties=species:S:1:pos:R:3 pbc="T T T"
Be -2.1576 -1.7686 2.5439
As -1.4609 0.9594 1.1359
C 0.0000 0.0000 0.0000
Se 0.7190 -1.0603 1.8203
Se -1.4156 -1.6676 -0.4123
```

Values from the calculation:
E_form (uncorrected) = 1.35 eV/atom
calculated density = 5.10 Mg/m³
magnetic moment = 0.00 μB/f.u.



A relaxed BeAsCSe2 crystal, computed with PBE.

The structure in extended XYZ format:
```
5
Lattice="4.8504 0.0000 0.0000 0.0000 3.3920 0.0000 0.0000 0.0000 4.8504" Properties=species:S:1:pos:R:3 pbc="T T T"
Be 0.0000 0.0000 0.0000
As 2.4252 1.6960 2.4252
C 0.0000 1.6960 0.0000
Se 0.0000 0.0000 2.4252
Se 2.4252 0.0000 0.0000
```

Values from the calculation:
E_form (uncorrected) = 0.92 eV/atom
calculated density = 5.28 Mg/m³
magnetic moment = 0.00 μB/f.u.



A relaxed BeAs2CSe crystal, computed with PBE.

The structure in extended XYZ format:
```
5
Lattice="-1.1046 2.7971 -3.0294 1.9700 -2.3972 -2.9316 -3.7731 -2.2465 -0.6985" Properties=species:S:1:pos:R:3 pbc="T T T"
Be -1.4539 -0.9233 -3.3298
As 0.9850 -1.1986 -1.4658
As -0.5523 1.3986 -1.5147
C 0.0000 0.0000 0.0000
Se -1.8866 -1.1233 -0.3493
```

Values from the calculation:
E_form (uncorrected) = 1.32 eV/atom
calculated density = 5.12 Mg/m³
magnetic moment = 0.00 μB/f.u.



A relaxed Y2BeAsC crystal, computed with PBE.

The structure in extended XYZ format:
```
5
Lattice="-1.2038 -2.2335 -4.2955 1.4457 -4.3901 1.8776 -3.2729 -0.5608 1.2088" Properties=species:S:1:pos:R:3 pbc="T T T"
Y 0.7228 -2.1951 0.9388
Y -0.6019 -1.1167 -2.1477
Be -1.6364 -0.2804 0.6044
As -1.5155 -3.5922 -0.6046
C 0.0000 0.0000 0.0000
```

Values from the calculation:
calculated density = 5.17 Mg/m³
magnetic moment = 0.00 μB/f.u.



A relaxed CaBeAs crystal, computed with PBE.

The structure in extended XYZ format:
```
6
Lattice="-0.9179 -2.5160 -2.7760 0.8889 -1.2662 3.5336 -8.3880 0.5246 2.2981" Properties=species:S:1:pos:R:3 pbc="T T T"
Ca 0.0000 0.0000 0.0000
Ca -4.1940 0.2623 1.1490
Be -2.4129 -1.9669 -0.0995
Be -6.0042 -1.2907 3.1551
As -1.8106 -1.5503 2.0037
As -6.6064 -1.7073 1.0519
```

Values from the calculation:
calculated density = 3.67 Mg/m³
magnetic moment = 0.00 μB/f.u.



A relaxed Ca2BeAs crystal, computed with PBE.

The structure in extended XYZ format:
```
4
Lattice="4.7839 -0.0010 0.0041 0.0017 4.7839 0.0041 -0.0052 -0.0052 3.9320" Properties=species:S:1:pos:R:3 pbc="T T T"
Be -0.0017 2.3894 1.9680
As 2.3894 -0.0031 1.9680
Ca 0.0000 0.0000 0.0000
Ca 2.3928 2.3915 0.0041
```

Values from the calculation:
calculated density = 3.03 Mg/m³
magnetic moment = 0.00 μB/f.u.



A relaxed Ca2BeAs crystal, computed with PBE.

The structure in extended XYZ format:
```
4
Lattice="0.0000 3.5711 3.5711 3.5711 0.0000 3.5711 3.5711 3.5711 0.0000" Properties=species:S:1:pos:R:3 pbc="T T T"
Be 0.0000 0.0000 0.0000
As 3.5711 3.5711 3.5711
Ca 1.7856 1.7856 1.7856
Ca 5.3567 5.3567 5.3567
```

Values from the calculation:
calculated density = 2.99 Mg/m³
magnetic moment = 0.00 μB/f.u.



A relaxed CaBeAs crystal, computed with PBE.

The structure in extended XYZ format:
```
3
Lattice="-5.4150 1.4254 -0.1972 -5.0496 -1.4534 -1.9454 -1.5958 -1.6972 2.4597" Properties=species:S:1:pos:R:3 pbc="T T T"
Be -4.9613 -1.0637 0.7132
As -10.0699 -0.1022 -1.9378
Ca -7.4939 -0.5871 -0.6010
```

Values from the calculation:
calculated density = 3.54 Mg/m³
magnetic moment = 0.00 μB/f.u.



A relaxed CaBeAs3 crystal, computed with PBE.

The structure in extended XYZ format:
```
5
Lattice="-0.5397 -4.5519 -0.8251 0.3746 -0.8710 4.5599 -4.6109 0.4621 0.4670" Properties=species:S:1:pos:R:3 pbc="T T T"
Be 0.0000 0.0000 0.0000
As 0.1873 -0.4355 2.2800
As -2.3054 0.2310 0.2335
As -0.2699 -2.2759 -0.4126
Ca -2.3880 -2.4804 2.1009
```

Values from the calculation:
calculated density = 4.50 Mg/m³
magnetic moment = 0.00 μB/f.u.



A relaxed Ca2BeAs crystal, computed with PBE.

The structure in extended XYZ format:
```
4
Lattice="-0.5077 -0.4466 -7.0170 -1.7946 -5.2617 -4.3347 -1.4764 3.9052 5.6802" Properties=species:S:1:pos:R:3 pbc="T T T"
Be -2.3858 -2.5386 -3.0269
As -0.9772 -2.4228 -4.8180
Ca -0.0019 -0.0048 -0.0095
Ca -1.5649 0.3090 -3.4929
```

Values from the calculation:
calculated density = 2.65 Mg/m³
magnetic moment = 0.00 μB/f.u.



A relaxed CaBe3As crystal, computed with PBE.

The structure in extended XYZ format:
```
5
Lattice="-3.9044 -1.2692 2.7678 -1.5873 -2.9924 -3.6113 2.5984 -3.7351 1.9528" Properties=species:S:1:pos:R:3 pbc="T T T"
Be -0.7937 -1.4962 -1.8057
Be 1.2992 -1.8675 0.9764
Be -1.9522 -0.6346 1.3839
As -1.4467 -3.9983 0.5546
Ca 0.0000 0.0000 0.0000
```

Values from the calculation:
calculated density = 1.94 Mg/m³
magnetic moment = 0.00 μB/f.u.



A relaxed CaBeAs3 crystal, computed with PBE.

The structure in extended XYZ format:
```
5
Lattice="5.2986 0.0000 0.0000 0.0000 5.2986 0.0000 0.0000 0.0000 5.2986" Properties=species:S:1:pos:R:3 pbc="T T T"
Be 2.6493 2.6493 2.6493
As 0.0000 2.6493 0.0000
As 0.0000 0.0000 2.6493
As 2.6493 0.0000 0.0000
Ca 0.0000 0.0000 0.0000
```

Values from the calculation:
calculated density = 3.06 Mg/m³
magnetic moment = 0.00 μB/f.u.



A relaxed Ca2BeAs crystal, computed with PBE.

The structure in extended XYZ format:
```
4
Lattice="4.2931 0.0000 0.0000 0.0000 4.2376 0.0000 0.0000 0.0000 5.9271" Properties=species:S:1:pos:R:3 pbc="T T T"
Be 2.1466 2.1188 5.1870
As 0.0000 0.0000 2.2222
Ca 0.0000 0.0000 5.1849
Ca 2.1466 2.1188 2.2235
```

Values from the calculation:
calculated density = 2.53 Mg/m³
magnetic moment = 0.39 μB/f.u.



A relaxed Ca4BeAs crystal, computed with PBE.

The structure in extended XYZ format:
```
6
Lattice="0.0000 4.5502 4.5502 4.5502 0.0000 4.5502 4.5502 4.5502 0.0000" Properties=species:S:1:pos:R:3 pbc="T T T"
Ca 3.4186 5.6819 5.6819
Ca 5.6819 5.6819 3.4186
Ca 5.6819 3.4186 5.6819
Ca 3.4186 3.4186 3.4186
Be 0.0000 0.0000 0.0000
As 6.8253 6.8253 6.8253
```

Values from the calculation:
calculated density = 2.15 Mg/m³
magnetic moment = 0.00 μB/f.u.



A relaxed Ca2BeAs2 crystal, computed with PBE.

The structure in extended XYZ format:
```
10
Lattice="6.9271 0.0000 0.0000 0.0000 6.9271 0.0000 0.0000 0.0000 4.4021" Properties=species:S:1:pos:R:3 pbc="T T T"
Be 0.0000 0.0000 0.0000
Be 3.4636 3.4636 0.0000
As 2.5317 5.9953 0.0000
As 5.9953 4.3954 0.0000
As 4.3954 0.9318 0.0000
As 0.9318 2.5317 0.0000
Ca 1.2092 4.6728 2.2011
Ca 4.6728 5.7179 2.2011
Ca 5.7179 2.2544 2.2011
Ca 2.2544 1.2092 2.2011
```

Values from the calculation:
calculated density = 3.76 Mg/m³
magnetic moment = 0.00 μB/f.u.



A relaxed Ca2BeAs crystal, computed with PBE.

The structure in extended XYZ format:
```
4
Lattice="3.6113 -0.5219 0.0000 -0.8913 3.5382 0.0000 0.0000 0.0000 8.5127" Properties=species:S:1:pos:R:3 pbc="T T T"
Be 1.3600 1.5082 5.8014
As 0.0000 0.0000 4.8131
Ca 0.0000 0.0000 7.9064
Ca 1.3600 1.5082 2.7608
```

Values from the calculation:
calculated density = 2.60 Mg/m³
magnetic moment = 0.00 μB/f.u.



A relaxed Ca2Be2As3 crystal, computed with PBE.

The structure in extended XYZ format:
```
14
Lattice="-3.4551 -1.2156 -1.5807 -0.1369 -7.8092 1.2708 -5.6005 -0.3251 7.4576" Properties=species:S:1:pos:R:3 pbc="T T T"
Ca -2.8427 -1.4553 2.2987
Ca -6.3498 -7.8946 4.8489
Ca -6.7164 -2.8567 6.8099
Ca -2.4761 -6.4932 0.3378
Be -4.0029 -2.1633 5.3793
Be -5.1896 -7.1866 1.7683
Be -5.1269 -4.7681 4.8054
Be -4.0656 -4.5818 2.3423
As -5.2452 -8.0346 7.5758
As -3.9473 -1.3154 -0.4282
As -1.7649 -4.1038 1.9799
As -7.4275 -5.2461 5.1678
As -4.0122 -6.5062 3.7056
As -5.1803 -2.8437 3.4421
```

Values from the calculation:
calculated density = 3.88 Mg/m³
magnetic moment = 0.00 μB/f.u.



A relaxed CaBeAs crystal, computed with PBE.

The structure in extended XYZ format:
```
3
Lattice="-0.2009 -2.9777 3.5551 3.0079 -3.5267 0.2463 3.3333 0.0139 3.2302" Properties=species:S:1:pos:R:3 pbc="T T T"
Be 3.0702 -3.2453 3.5158
As 0.0000 0.0000 0.0000
Ca 4.6052 -4.8679 5.2737
```

Values from the calculation:
calculated density = 2.91 Mg/m³
magnetic moment = 0.00 μB/f.u.



Number 1: final energy -0.2482 Ha/atom. Number 2: final energy -0.1875 Ha/atom. Number 3: final energy -0.1311 Ha/atom. Number 4: final energy -0.1467 Ha/atom. Number 5: final energy -0.1406 Ha/atom. Number 6: final energy -0.2484 Ha/atom. Number 7: final energy -0.1517 Ha/atom. Number 8: final energy -0.1254 Ha/atom. Number 9: final energy -0.1229 Ha/atom. Number 10: final energy -0.1320 Ha/atom. Number 11: final energy -0.1476 Ha/atom. Number 12: final energy -0.1287 Ha/atom. Number 13: final energy -0.0545 Ha/atom. Number 14: final energy -0.0986 Ha/atom. Number 15: final energy -0.1162 Ha/atom. Number 16: final energy -0.0768 Ha/atom. Number 17: final energy -0.1440 Ha/atom. Number 18: final energy -0.1185 Ha/atom. Number 19: final energy -0.1602 Ha/atom. Number 20: final energy -0.1159 Ha/atom.